[1]
Material: CsCuF
Method: DFT, GGA-PBE
State: relaxed

Cell lengths 4.7652, 4.7652, 8.8742 Å; angles 74.43, 74.43, 60.00 degrees
With the nearest neighbours (Å) after each atom.
Fractional positions:
Cu1 0.1801 0.1801 0.4596  1 F 2.19
Cu2 0.8199 0.8199 0.5404  1 F 2.19
F1 0.2667 0.2667 0.1998  1 Cu 2.19
Cs1 0.3953 0.3953 0.8140  3 F 2.75
F2 0.7333 0.7333 0.8002  1 Cu 2.19
Cs2 0.6047 0.6047 0.1860  3 F 2.75

Output
For the calculated total energy, the calculation gives -3.423 eV/atom. As for the formation energy without anion corrections: -1.1493 eV per atom.

[2]
Material: Zr3Te
Method: DFT, GGA-PBE
State: relaxed

Cell lengths 5.0588, 5.0588, 3.6202 Å; angles 90.00, 90.00, 104.68 degrees
With the nearest neighbours (Å) after each atom.
Fractional positions:
Te1 0.0000 0.0000 0.0000  10 Zr 3.09-3.11
Zr1 0.0000 0.5000 0.5000  6 Zr 3.09-3.11, 4 Te 3.11
Zr2 0.5000 0.0000 0.5000  6 Zr 3.09-3.11, 4 Te 3.11
Zr3 0.5000 0.5000 0.0000  2 Te 3.09, 8 Zr 3.11

Output
For the calculated total energy, the calculation gives -7.545 eV/atom. As for the formation energy without anion corrections: -0.3488 eV per atom.

[3]
Material: Ho2ErS4
Method: DFT, GGA-PBE
State: relaxed

Cell lengths 7.7964, 7.7325, 7.7325 Å; angles 60.60, 59.73, 59.73 degrees
With the nearest neighbours (Å) after each atom.
Fractional positions:
Ho1 0.0000 0.0000 0.5000  6 S 2.72-2.76
S1 0.7568 0.2505 0.7505  1 Er 2.71, 3 Ho 2.72
Ho2 0.0000 0.0000 0.0000  6 S 2.72-2.74
Er1 0.5000 0.5000 0.0000  6 S 2.71-2.75
S2 0.7578 0.7495 0.2495  1 Er 2.71, 3 Ho 2.72
S3 0.2527 0.2483 0.2462  3 Ho 2.74-2.76, 2 Er 2.75
S4 0.7473 0.2538 0.2517  3 Ho 2.74-2.76, 2 Er 2.75
S5 0.2527 0.7462 0.7483  3 Ho 2.74-2.76, 2 Er 2.75
S6 0.2432 0.7495 0.2495  1 Er 2.71, 3 Ho 2.72
S7 0.7473 0.7517 0.7538  3 Ho 2.74-2.76, 2 Er 2.75
S8 0.2422 0.2505 0.7505  1 Er 2.71, 3 Ho 2.72
Ho3 0.5000 0.0000 0.5000  6 S 2.72-2.76
Er2 0.0000 0.5000 0.0000  6 S 2.71-2.75
Ho4 0.0000 0.5000 0.5000  6 S 2.72-2.74

Output
For the calculated total energy, the calculation gives -6.385 eV/atom. As for the formation energy without anion corrections: -2.0672 eV per atom. The value obtained for the energy relative to the lowest polymorph listed for this composition is 0.0000 eV/atom.

[4]
Material: PrNdHo2Er2
Method: DFT, GGA-PBE
State: relaxed

Cell lengths 3.4067, 6.5852, 17.8391 Å; angles 90.00, 90.00, 90.00 degrees
With the nearest neighbours (Å) after each atom.
Fractional positions:
Nd1 0.0000 0.0000 0.5000  2 Nd 3.41, 4 Er 3.50, 4 Pr 3.71
Ho1 0.5000 0.7247 0.6856  4 Er 3.34-3.39, 2 Ho 3.41, 1 Pr 3.63
Ho2 0.0000 0.2247 0.8144  4 Er 3.34-3.39, 2 Ho 3.41, 1 Pr 3.63
Ho3 0.0000 0.7753 0.1856  4 Er 3.34-3.39, 2 Ho 3.41, 1 Pr 3.63
Ho4 0.5000 0.2753 0.3144  4 Er 3.34-3.39, 2 Ho 3.41, 1 Pr 3.63
Pr1 0.0000 0.0000 0.0000  2 Er 3.24, 2 Pr 3.41, 2 Ho 3.63
Er1 0.0000 0.7232 0.8496  1 Pr 3.24, 4 Ho 3.34-3.39, 2 Er 3.41, 2 Nd 3.50
Er2 0.0000 0.2768 0.1504  1 Pr 3.24, 4 Ho 3.34-3.39, 2 Er 3.41, 2 Nd 3.50
Nd2 0.5000 0.5000 0.0000  2 Nd 3.41, 4 Er 3.50, 4 Pr 3.71
Er3 0.5000 0.7768 0.3496  1 Pr 3.24, 4 Ho 3.34-3.39, 2 Er 3.41, 2 Nd 3.50
Pr2 0.5000 0.5000 0.5000  2 Er 3.24, 2 Pr 3.41, 2 Ho 3.63
Er4 0.5000 0.2232 0.6504  1 Pr 3.24, 4 Ho 3.34-3.39, 2 Er 3.41, 2 Nd 3.50

Output
For the calculated total energy, the calculation gives -4.357 eV/atom. The value obtained for the formation energy is 0.282 eV/atom.

[5]
Material: PuCd3Au
Method: DFT, GGA-PBE
State: relaxed

Cell lengths 4.8429, 4.9700, 5.8325 Å; angles 115.22, 90.00, 90.00 degrees
With the nearest neighbours (Å) after each atom.
Fractional positions:
Cd1 0.5000 0.7360 0.4720  2 Au 2.93, 2 Cd 3.12, 3 Pu 3.21-3.25
Au1 0.5000 0.3830 0.7660  6 Cd 2.82-3.00, 2 Pu 3.01
Cd2 0.0000 0.5503 0.1006  2 Au 3.00, 5 Cd 3.12-3.24
Pu1 0.5000 0.0440 0.0881  2 Au 3.01, 5 Cd 3.21-3.25
Cd3 0.0000 0.2467 0.4935  2 Au 2.82

Output
For the calculated total energy, the calculation gives -4.169 eV/atom. The value obtained for the formation energy is -0.098 eV/atom. The value obtained for the energy relative to the lowest polymorph listed for this composition is 0.0655 eV/atom.

[6]
Material: Ce2Zn3Ga4
Method: DFT, GGA-PBE
State: relaxed

Cell lengths 5.8487, 7.8123, 8.1614 Å; angles 90.00, 111.00, 90.00 degrees
With the nearest neighbours (Å) after each atom.
Fractional positions:
Ce1 0.8913 0.4061 0.7826  4 Zn 3.14-3.44, 8 Ga 3.15-3.39
Ce2 0.3913 0.0939 0.7826  4 Zn 3.14-3.44, 8 Ga 3.15-3.39
Ga1 0.8231 0.0202 0.6463  5 Zn 2.68-2.74
Ga2 0.6769 0.5202 0.3537  5 Zn 2.68-2.74
Zn1 0.5000 0.5000 0.0000  6 Ga 2.60-2.70
Ce3 0.1087 0.5939 0.2174  4 Zn 3.14-3.44, 8 Ga 3.15-3.39
Zn2 0.5229 0.7500 0.5457  5 Ga 2.56-2.74
Ga3 0.6911 0.7500 0.8822  3 Zn 2.56-2.60
Zn3 0.0229 0.7500 0.5457  5 Ga 2.56-2.74
Ga4 0.8089 0.2500 0.1178  3 Zn 2.56-2.60
Zn4 0.0000 0.0000 0.0000  6 Ga 2.60-2.70
Zn5 0.4771 0.2500 0.4543  5 Ga 2.56-2.74
Zn6 0.9771 0.2500 0.4543  5 Ga 2.56-2.74
Ga5 0.3089 0.2500 0.1178  3 Zn 2.56-2.60
Ga6 0.1769 0.9798 0.3537  5 Zn 2.68-2.74
Ga7 0.3231 0.4798 0.6463  5 Zn 2.68-2.74
Ga8 0.1911 0.7500 0.8822  3 Zn 2.56-2.60
Ce4 0.6087 0.9061 0.2174  4 Zn 3.14-3.44, 8 Ga 3.15-3.39

Output
For the calculated total energy, the calculation gives -3.465 eV/atom. The value obtained for the formation energy is -0.376 eV/atom.

[7]
Material: SrCaScIr2
Method: DFT, GGA-PBE
State: relaxed

Cell lengths 5.0721, 4.9277, 5.0721 Å; angles 90.00, 90.00, 90.00 degrees
With the nearest neighbours (Å) after each atom.
Fractional positions:
Ca1 0.0000 0.0000 0.0000  2 Sc 2.46, 4 Ir 2.54
Sr1 0.5000 0.5000 0.5000  8 Ir 3.54, 4 Sc 3.59
Ir1 0.5000 0.0000 0.0000  2 Ca 2.54
Ir2 0.0000 0.0000 0.5000  2 Ca 2.54
Sc1 0.0000 0.5000 0.0000  2 Ca 2.46

Output
For the calculated total energy, the calculation gives -4.532 eV/atom. The value obtained for the formation energy is 1.015 eV/atom.

[8]
Material: Cu3Tc
Method: DFT, GGA-PBE
State: relaxed

Cell lengths 2.5425, 2.5425, 7.8258 Å; angles 90.00, 90.00, 89.88 degrees
With the nearest neighbours (Å) after each atom.
Fractional positions:
Cu1 0.0000 0.0000 0.9883  8 Cu 2.54-2.59, 4 Tc 2.72-2.73
Cu2 0.0000 0.0000 0.5117  8 Cu 2.54-2.59, 4 Tc 2.72-2.73
Cu3 0.5000 0.5000 0.7500  12 Cu 2.54-2.59
Tc1 0.5000 0.5000 0.2500  4 Tc 2.54, 8 Cu 2.72-2.73

Output
For the calculated total energy, the calculation gives -5.540 eV/atom. The value obtained for the formation energy is 0.124 eV/atom.

[9]
Material: SmGe2Te3
Method: DFT, GGA-PBE
State: relaxed

Cell lengths 4.2265, 9.0736, 12.2700 Å; angles 71.09, 90.00, 90.00 degrees
With the nearest neighbours (Å) after each atom.
Fractional positions:
Ge1 0.7500 0.9748 0.9489  2 Ge 2.57, 1 Te 2.69
Te1 0.2500 0.5771 0.6243  2 Ge 2.82, 1 Sm 3.02
Ge2 0.2500 0.2134 0.4663  3 Te 2.81-2.82
Ge3 0.7500 0.7866 0.5337  3 Te 2.81-2.82
Te2 0.2500 0.3379 0.9835  1 Ge 2.69
Sm1 0.2500 0.7195 0.8157  5 Te 3.02-3.16
Te3 0.7500 0.4229 0.3757  2 Ge 2.82, 1 Sm 3.02
Te4 0.7500 0.6621 0.0165  1 Ge 2.69
Te5 0.2500 0.0357 0.3169  1 Ge 2.81, 2 Sm 3.12
Sm2 0.7500 0.2805 0.1843  5 Te 3.02-3.16
Te6 0.7500 0.9643 0.6831  1 Ge 2.81, 2 Sm 3.12
Ge4 0.2500 0.0252 0.0511  2 Ge 2.57, 1 Te 2.69

Output
For the calculated total energy, the calculation gives -4.388 eV/atom. As for the formation energy without anion corrections: -0.4915 eV per atom.

[10]
Material: Nd2Cu3Sn4Pd
Method: DFT, GGA-PBE
State: relaxed

Cell lengths 4.4917, 4.4917, 10.7710 Å; angles 90.00, 90.00, 90.00 degrees
With the nearest neighbours (Å) after each atom.
Fractional positions:
Sn1 0.5000 0.0000 0.6310  3 Cu 2.53-2.65, 2 Pd 2.65
Nd1 0.5000 0.0000 0.2572  8 Sn 3.40-3.57, 6 Cu 3.44-3.45, 2 Pd 3.45
Cu1 0.0000 0.5000 0.1341  5 Sn 2.53-2.67
Sn2 0.0000 0.5000 0.3690  3 Cu 2.53-2.65, 2 Pd 2.65
Sn3 0.0000 0.0000 0.0000  4 Cu 2.67
Nd2 0.0000 0.5000 0.7428  8 Sn 3.40-3.57, 6 Cu 3.44-3.45, 2 Pd 3.45
Cu2 0.5000 0.0000 0.8659  5 Sn 2.53-2.67
Pd1 0.5000 0.5000 0.5000  4 Sn 2.65
Cu3 0.0000 0.0000 0.5000  4 Sn 2.65
Sn4 0.5000 0.5000 0.0000  4 Cu 2.67

Output
For the calculated total energy, the calculation gives -4.800 eV/atom. The value obtained for the formation energy is -0.497 eV/atom.

[11]
Material: KLaCo2
Method: DFT, GGA-PBE
State: relaxed

Cell lengths 9.1939, 9.1939, 9.1939 Å; angles 22.07, 22.07, 22.07 degrees
With the nearest neighbours (Å) after each atom.
Fractional positions:
Co1 0.4859 0.4859 0.4859  3 La 2.76
K1 0.2500 0.2500 0.2500  6 Co 3.32, 6 K 3.52
La1 0.7500 0.7500 0.7500  6 Co 2.76
Co2 0.0141 0.0141 0.0141  3 La 2.76

Output
For the calculated total energy, the calculation gives -4.235 eV/atom. The value obtained for the formation energy is 0.824 eV/atom. The value obtained for the energy relative to the lowest polymorph listed for this composition is 0.6035 eV/atom.

[12]
Material: Pm2Ga4NiPd3
Method: DFT, GGA-PBE
State: relaxed

Cell lengths 4.3863, 4.3863, 9.8393 Å; angles 90.00, 90.00, 90.00 degrees
With the nearest neighbours (Å) after each atom.
Fractional positions:
Ga1 0.0000 0.0000 0.0000  4 Pd 2.54
Pd1 0.5000 0.0000 0.8688  5 Ga 2.47-2.54
Pm1 0.5000 0.0000 0.2560  2 Ni 3.25, 6 Pd 3.25-3.34, 9 Ga 3.34-3.56
Ni1 0.5000 0.5000 0.5000  4 Ga 2.48
Ga2 0.5000 0.0000 0.6177  3 Pd 2.47-2.48, 2 Ni 2.48
Ga3 0.5000 0.5000 0.0000  4 Pd 2.54
Pm2 0.0000 0.5000 0.7440  2 Ni 3.25, 6 Pd 3.25-3.34, 9 Ga 3.34-3.56
Pd2 0.0000 0.5000 0.1312  5 Ga 2.47-2.54
Ga4 0.0000 0.5000 0.3823  3 Pd 2.47-2.48, 2 Ni 2.48
Pd3 0.0000 0.0000 0.5000  4 Ga 2.48

Output
For the calculated total energy, the calculation gives -5.025 eV/atom. The value obtained for the formation energy is -0.728 eV/atom.